{
  "formula": "RuPtSe",
  "functional": "GGA-PBEsol",
  "state": "optimized geometry",
  "space_group": "F-43m, No. 216",
  "formation_energy_uncorrected_kj_per_mol_fu": 81,
  "rho_g_cm3": 11.963,
  "lattice": [[4.191, 0.000, 0.000], [2.096, 3.630, 0.000], [2.096, 1.210, 3.422]],
  "species": ["Pt", "Ru", "Se"],
  "frac_coords": [[0.500, 0.500, 0.500], [0.250, 0.250, 0.250], [0.000, 0.000, 0.000]]
}

{
  "formula": "Ru2PtSe",
  "functional": "GGA-PBEsol",
  "state": "optimized geometry",
  "space_group": "Pmmm, No. 47",
  "formation_energy_uncorrected_kj_per_mol_fu": 184,
  "rho_g_cm3": 13.423,
  "lattice": [[-1.618, 2.063, -0.897], [-3.055, -3.057, -1.518], [-2.148, 0.104, 4.113]],
  "species": ["Pt", "Ru", "Ru", "Se"],
  "frac_coords": [[0.000, 0.500, 0.500], [0.000, 0.000, 0.000], [0.500, 0.000, 0.500], [0.500, 0.500, 0.000]]
}

{
  "formula": "RuPtSe3",
  "functional": "GGA-PBEsol",
  "state": "optimized geometry",
  "space_group": "Pm-3m, No. 221",
  "formation_energy_uncorrected_kj_per_mol_fu": 436,
  "rho_g_cm3": 8.502,
  "lattice": [[4.704, 0.000, 0.000], [0.000, 4.704, 0.000], [0.000, 0.000, 4.704]],
  "species": ["Ru", "Se", "Se", "Se", "Pt"],
  "frac_coords": [[0.000, 0.000, 0.000], [0.000, 0.500, 0.000], [0.000, 0.000, 0.500], [0.500, 0.000, 0.000], [0.500, 0.500, 0.500]]
}